## Mn2CdAs (PBE)

Data for a relaxed structure of Mn2CdAs.

It has space group R-3m (No. 166, hexagonal axes), with a = 3.2086 Å, b = 3.2086 Å, c = 23.2122 Å, α = 90.00°, β = 90.00° and γ = 120.00°. The asymmetric unit holds Mn at (0.0000, 0.0000, 0.2375), Cd at (0.0000, 0.0000, 0.0000) and As at (0.0000, 0.0000, 0.5000).

For the formation energy, the calculation gives 19.93 kJ/mol of atoms. Its total moment is 18.82 μB/cell. The value obtained for the total energy is -5.77 eV per atom. Its offset from the most stable computed form is 62 meV/atom.